[1]
VASP calculation (PBE-GGA) on TaV2Os2 after structural relaxation.

Energy of formation from the pure elements (eV per atom): -0.047
Energy relative to the lowest polymorph listed for this composition (meV per atom): 0
Volume (A^3/atom): 15.0
VASP energy (eV per atom): -10.56

abc: 7.2571 7.2571 2.8513
angles: 90.00 90.00 90.00
With the nearest neighbours (Å) after each atom.
Space group P4/mbm (No. 127)
Inequivalent atoms, fractional coordinates:
Ta 0.0000 0.0000 0.0000 (multiplicity 2)  4 V 2.78, 2 Ta 2.85, 8 Os 3.09
V 0.1455 0.3545 0.0000 (multiplicity 4)  6 Os 2.50-2.60, 2 Ta 2.78
Os 0.1547 0.6547 0.5000 (multiplicity 4)  6 V 2.50-2.60

---

[2]
VASP calculation (PBE-GGA) on TaVOs after structural relaxation.

Energy of formation from the pure elements (eV per atom): -0.291
Energy relative to the lowest polymorph listed for this composition (meV per atom): 17
Volume (A^3/atom): 15.2
VASP energy (eV per atom): -11.02

abc: 3.1108 3.1108 9.4522
angles: 90.00 90.00 90.00
With the nearest neighbours (Å) after each atom.
Space group I4mm (No. 107)
Inequivalent atoms, fractional coordinates:
Ta 0.0000 0.0000 0.0000 (multiplicity 2)  4 V 2.71, 4 Os 2.74
V 0.0000 0.0000 0.3329 (multiplicity 2)  4 Os 2.67, 4 Ta 2.71
Os 0.0000 0.0000 0.6731 (multiplicity 2)  4 V 2.67, 4 Ta 2.74